Entry 1:
Density functional theory data (PBE-GGA) for crystalline BaSrAcEu at its relaxed geometry.

Cell: 6.5651 6.5651 6.5651 Å, 60.00 60.00 60.00°
Last column: nearest neighbours and their distance in Å.
Fractional positions:
Ba 0.5000 0.5000 0.5000  4 Sr 4.02, 4 Ac 4.02
Ac 0.7500 0.7500 0.7500  4 Ba 4.02, 4 Eu 4.02
Sr 0.2500 0.2500 0.2500  4 Eu 4.02, 4 Ba 4.02
Eu 0.0000 0.0000 0.0000  4 Ac 4.02, 4 Sr 4.02

Output
Its total energy is -4.406 eV/atom. Its crystal system is cubic. The density of states at the Fermi level comes out at 14.94 states/eV/cell. As for the calculated volume: 200.08 Å³ per cell.

=====

Entry 2:
Density functional theory data (PBE-GGA) for crystalline KNaTlCd at its relaxed geometry.

Cell: 5.2442 5.2442 6.7616 Å, 90.11 112.70 120.01°
Last column: nearest neighbours and their distance in Å.
Fractional positions:
Na 0.9941 0.8616 0.8556  3 Tl 3.32-3.33, 3 Cd 3.34-3.35, 1 K 3.70
Tl 0.4781 0.6037 0.0819  3 Cd 3.03, 3 Na 3.32-3.33
K 0.4013 0.0655 0.4668  4 Na 3.70-3.84, 4 Cd 3.78, 3 Tl 3.82
Cd 0.8186 0.2736 0.0922  3 Tl 3.03, 3 Na 3.34-3.35

Output
Its crystal system is monoclinic. Its energy above the most stable polymorph in this dataset is 0.0 kJ/mol of atoms. The density of states at the Fermi level comes out at 2.81 states/eV/cell. As for the calculated volume: 144.07 Å³ per cell.

=====

Entry 3:
Density functional theory data (PBE-GGA) for crystalline NaPaHgO4 at its relaxed geometry.

Cell: 6.6902 7.0817 7.0423 Å, 119.82 90.00 118.19°
Last column: nearest neighbours and their distance in Å.
Fractional positions:
O 0.2889 0.5778 0.3135  1 Pa 2.18, 2 Hg 2.34, 1 Na 2.41
O 0.7111 0.4222 0.6865  1 Pa 2.18, 2 Hg 2.34, 1 Na 2.41
O 0.2839 0.9691 0.2346  2 Pa 2.22, 1 Na 2.44
O 0.7111 0.4222 0.2357  1 Pa 2.18, 2 Hg 2.34, 1 Na 2.41
O 0.3148 0.0309 0.7654  2 Pa 2.22, 1 Na 2.44
O 0.6852 0.9691 0.2346  2 Pa 2.22, 1 Na 2.44
O 0.7161 0.0309 0.7654  2 Pa 2.22, 1 Na 2.44
O 0.2889 0.5778 0.7643  1 Pa 2.18, 2 Hg 2.34, 1 Na 2.41
Hg 0.0000 0.5000 0.5000  4 O 2.34
Hg 0.5000 0.5000 0.5000  4 O 2.34
Na 0.1501 0.3001 0.9001  4 O 2.41-2.44
Na 0.8499 0.6999 0.0999  4 O 2.41-2.44
Pa 0.5000 0.0000 0.5000  6 O 2.18-2.22
Pa 0.5000 0.0000 0.0000  6 O 2.18-2.22

Output
Its total energy is -6.611 eV/atom. Its crystal system is orthorhombic. As for the calculated volume: 242.82 Å³ per cell.

=====

Entry 4:
Density functional theory data (PBE-GGA) for crystalline Y2WBr at its relaxed geometry.

Cell: 5.1133 5.1133 5.1133 Å, 60.00 60.00 60.00°
Last column: nearest neighbours and their distance in Å.
Fractional positions:
Br 0.0000 0.0000 0.0000  8 Y 3.13
W 0.5000 0.5000 0.5000  8 Y 3.13
Y 0.2500 0.2500 0.2500  4 W 3.13, 4 Br 3.13
Y 0.7500 0.7500 0.7500  4 W 3.13, 4 Br 3.13

Output
Its crystal system is cubic. Its energy above the most stable polymorph in this dataset is 56.2 kJ/mol of atoms. The density of states at the Fermi level comes out at 2.39 states/eV/cell. As for the calculated volume: 94.53 Å³ per cell.

=====

Entry 5:
Density functional theory data (PBE-GGA) for crystalline Mn2GaBSe at its relaxed geometry.

Cell: 5.5666 2.9893 8.8919 Å, 90.00 114.68 90.00°
Last column: nearest neighbours and their distance in Å.
Fractional positions:
Mn 0.8082 0.5000 0.8381  2 B 2.03
Mn 0.2729 0.5000 0.6358  2 B 2.08
Mn 0.2729 0.0000 0.1358  2 B 2.08
Mn 0.8082 0.0000 0.3381  2 B 2.03
B 0.5601 0.5000 0.2092  4 Mn 2.03-2.08
B 0.5601 0.0000 0.7092  4 Mn 2.03-2.08
Se 0.1487 0.0000 0.8375  5 Mn 2.42-2.64
Se 0.1487 0.5000 0.3375  5 Mn 2.42-2.64
Ga 0.6944 0.0000 0.0291  3 B 2.52-2.62, 3 Mn 2.53-2.55, 1 Se 2.79
Ga 0.6944 0.5000 0.5291  3 B 2.52-2.62, 3 Mn 2.53-2.55, 1 Se 2.79

Output
Its crystal system is monoclinic. Its energy above the most stable polymorph in this dataset is 18.4 kJ/mol of atoms. The density of states at the Fermi level comes out at 4.84 states/eV/cell. As for the calculated volume: 134.45 Å³ per cell.

=====

Entry 6:
Density functional theory data (PBE-GGA) for crystalline Ac2Si2Ge at its relaxed geometry.

Cell: 4.3501 4.2057 7.5501 Å, 106.17 90.00 90.00°
Last column: nearest neighbours and their distance in Å.
Fractional positions:
Ac 0.0000 0.9280 0.8560  8 Si 3.20-3.35, 2 Ge 3.32, 1 Ac 3.55
Ac 0.0000 0.6835 0.3670  4 Ge 3.25, 2 Si 3.43, 1 Ac 3.55
Si 0.5000 0.3287 0.6575  1 Si 2.49
Si 0.5000 0.5006 0.0013  1 Si 2.49, 2 Ge 2.56
Ge 0.5000 0.1012 0.2024  2 Si 2.56

Output
Its crystal system is orthorhombic. Its energy above the most stable polymorph in this dataset is 4.9 kJ/mol of atoms. The density of states at the Fermi level comes out at 3.06 states/eV/cell. As for the calculated volume: 132.67 Å³ per cell.

=====

Entry 7:
Density functional theory data (PBE-GGA) for crystalline Li4CaAl2 at its relaxed geometry.

Cell: 5.5346 5.6564 5.6565 Å, 75.56 60.12 60.12°
Last column: nearest neighbours and their distance in Å.
Fractional positions:
Li 0.3032 0.3924 0.9998  4 Li 2.72-2.98, 4 Al 2.85-2.88, 1 Ca 2.98
Li 0.6968 0.0002 0.6076  4 Li 2.72-2.98, 4 Al 2.85-2.88, 1 Ca 2.98
Li 0.3032 0.9998 0.3924  4 Li 2.72-2.98, 4 Al 2.85-2.88, 1 Ca 2.98
Li 0.6968 0.6076 0.0002  4 Li 2.72-2.98, 4 Al 2.85-2.88, 1 Ca 2.98
Ca 0.0000 0.0000 0.0000  4 Li 2.98
Al 0.2516 0.4984 0.4984  2 Al 2.77, 8 Li 2.85-2.88
Al 0.7484 0.5016 0.5016  2 Al 2.77, 8 Li 2.85-2.88

Output
Its total energy is -2.575 eV/atom. Its crystal system is monoclinic. The density of states at the Fermi level comes out at 2.08 states/eV/cell. As for the calculated volume: 133.14 Å³ per cell.

=====

Entry 8:
Density functional theory data (PBE-GGA) for crystalline CuPd2Au4 at its relaxed geometry.

Cell: 6.8037 5.5727 7.2492 Å, 90.00 119.33 90.00°
Last column: nearest neighbours and their distance in Å.
Fractional positions:
Au 0.8453 0.2500 0.0646  1 Cu 2.61, 4 Pd 2.78-2.81, 1 Au 2.85
Au 0.4250 0.4988 0.7630  7 Au 2.77-3.07, 2 Cu 2.82-3.07, 4 Pd 2.83-2.95
Au 0.0081 0.7500 0.4932  1 Cu 2.59, 2 Pd 2.76, 5 Au 2.79-2.90
Au 0.9919 0.2500 0.5068  1 Cu 2.59, 2 Pd 2.76, 5 Au 2.79-2.90
Au 0.4250 0.0012 0.7630  7 Au 2.77-3.07, 2 Cu 2.82-3.07, 4 Pd 2.83-2.95
Au 0.5750 0.5012 0.2370  7 Au 2.77-3.07, 2 Cu 2.82-3.07, 4 Pd 2.83-2.95
Au 0.1547 0.7500 0.9354  1 Cu 2.61, 4 Pd 2.78-2.81, 1 Au 2.85
Au 0.5750 0.9988 0.2370  7 Au 2.77-3.07, 2 Cu 2.82-3.07, 4 Pd 2.83-2.95
Pd 0.1727 0.2500 0.9405  1 Cu 2.73, 8 Au 2.76-2.95, 1 Pd 2.78
Pd 0.6957 0.7500 0.6310  3 Cu 2.57-2.79, 4 Au 2.76-2.83, 1 Pd 2.78
Pd 0.8273 0.7500 0.0595  1 Cu 2.73, 8 Au 2.76-2.95, 1 Pd 2.78
Pd 0.3043 0.2500 0.3690  3 Cu 2.57-2.79, 4 Au 2.76-2.83, 1 Pd 2.78
Cu 0.2802 0.7500 0.3382  4 Pd 2.57-2.79, 4 Au 2.59-2.82
Cu 0.7198 0.2500 0.6618  4 Pd 2.57-2.79, 4 Au 2.59-2.82

Output
Its crystal system is monoclinic. Its energy above the most stable polymorph in this dataset is 10.0 kJ/mol of atoms. The density of states at the Fermi level comes out at 5.77 states/eV/cell. As for the calculated volume: 239.61 Å³ per cell.

=====

Entry 9:
Density functional theory data (PBE-GGA) for crystalline YMg2Sc at its relaxed geometry.

Cell: 3.3031 4.7412 6.6088 Å, 90.00 90.00 90.00°
Last column: nearest neighbours and their distance in Å.
Fractional positions:
Sc 0.0000 0.0000 0.4894  6 Mg 3.22-3.39, 2 Sc 3.30, 4 Y 3.37
Y 0.5000 0.5000 0.7515  6 Mg 3.27-3.34, 2 Y 3.30, 4 Sc 3.37
Mg 0.5000 0.5000 0.2568  2 Y 3.27-3.34, 4 Sc 3.27, 6 Mg 3.30-3.34
Mg 0.0000 0.0000 0.0023  2 Sc 3.22-3.39, 6 Mg 3.30-3.34, 4 Y 3.33

Output
Its crystal system is orthorhombic. Its energy above the most stable polymorph in this dataset is 8.6 kJ/mol of atoms. The density of states at the Fermi level comes out at 5.66 states/eV/cell. As for the calculated volume: 103.50 Å³ per cell.

=====

Entry 10:
Density functional theory data (PBE-GGA) for crystalline DyPuMnGa at its relaxed geometry.

Cell: 5.0281 5.0281 5.0281 Å, 60.00 60.00 60.00°
Last column: nearest neighbours and their distance in Å.
Fractional positions:
Dy 0.5000 0.5000 0.5000  4 Mn 3.08, 4 Ga 3.08
Ga 0.7500 0.7500 0.7500  4 Dy 3.08, 4 Pu 3.08
Mn 0.2500 0.2500 0.2500  4 Dy 3.08, 4 Pu 3.08
Pu 0.0000 0.0000 0.0000  4 Ga 3.08, 4 Mn 3.08

Output
Its total energy is -7.697 eV/atom. Its crystal system is cubic. The density of states at the Fermi level comes out at 13.11 states/eV/cell. As for the calculated volume: 89.89 Å³ per cell.

=====

Entry 11:
Density functional theory data (PBE-GGA) for crystalline TbEuHg2 at its relaxed geometry.

Cell: 3.8083 3.8083 7.6370 Å, 90.00 90.00 90.00°
Last column: nearest neighbours and their distance in Å.
Fractional positions:
Hg 0.0000 0.0000 0.7710  4 Tb 3.21, 4 Eu 3.40, 1 Hg 3.50
Hg 0.0000 0.0000 0.2290  4 Tb 3.21, 4 Eu 3.40, 1 Hg 3.50
Tb 0.5000 0.5000 0.0000  8 Hg 3.21
Eu 0.5000 0.5000 0.5000  8 Hg 3.40

Output
Its total energy is -4.392 eV/atom. Its crystal system is tetragonal. The density of states at the Fermi level comes out at 9.48 states/eV/cell. As for the calculated volume: 110.76 Å³ per cell.

=====

Entry 12:
Density functional theory data (PBE-GGA) for crystalline BC2 at its relaxed geometry.

Cell: 2.5554 2.4918 12.0324 Å, 90.00 90.00 90.00°
Last column: nearest neighbours and their distance in Å.
Fractional positions:
C 0.0000 0.0000 0.0257  2 C 1.52, 2 B 1.62
C 0.0000 0.0000 0.3245  4 C 1.52-1.58
C 0.5000 0.0000 0.5721  4 B 1.63-1.64
C 0.0000 0.5000 0.0984  4 C 1.52-1.57
C 0.0000 0.5000 0.3963  2 C 1.52, 2 B 1.67
C 0.5000 0.5000 0.1747  4 C 1.53-1.57
C 0.0000 0.5000 0.7485  4 B 1.58-1.65
C 0.5000 0.0000 0.2478  4 C 1.53-1.58
B 0.0000 0.0000 0.6581  4 C 1.64-1.65
B 0.5000 0.5000 0.4850  4 C 1.63-1.67
B 0.5000 0.0000 0.9429  2 C 1.62
B 0.5000 0.5000 0.8260  2 C 1.58

Output
Its crystal system is orthorhombic. Its energy above the most stable polymorph in this dataset is 7.9 kJ/mol of atoms. The density of states at the Fermi level comes out at 1.79 states/eV/cell. As for the calculated volume: 76.62 Å³ per cell.